[1]
Here is NiS2ICl after structural relaxation from Alexandria via LeMat-Bulk. Energies are from PBE.

Cell: 4.6203 4.6203 4.5426 Å, 90.00 90.00 90.00°
Closest atoms and distances in Å follow each position.
Element x y z (fractional)
1 Ni 0.0000 0.0000 0.0000  2 Cl 2.27, 4 S 2.31
2 S 0.0000 0.5000 0.0000  2 Ni 2.31
3 S 0.5000 0.0000 0.0000  2 Ni 2.31
4 I 0.5000 0.5000 0.5000  8 S 3.24, 4 Cl 3.27
5 Cl 0.0000 0.0000 0.5000  2 Ni 2.27

Results
Energy relative to the elements, uncorrected: 0.305 eV/atom
SG: P4/mmm, No. 123


[2]
Here is PrEuCuPt after structural relaxation from Alexandria via LeMat-Bulk. Energies are from PBE.

Cell: 7.2249 7.2249 7.2249 Å, 90.00 90.00 90.00°
Closest atoms and distances in Å follow each position.
Element x y z (fractional)
1 Pr 0.0000 0.0000 0.0000  4 Cu 3.13, 4 Pt 3.13
2 Pr 0.0000 0.5000 0.5000  4 Cu 3.13, 4 Pt 3.13
3 Pr 0.5000 0.0000 0.5000  4 Cu 3.13, 4 Pt 3.13
4 Pr 0.5000 0.5000 0.0000  4 Cu 3.13, 4 Pt 3.13
5 Eu 0.0000 0.0000 0.5000  4 Cu 3.13, 4 Pt 3.13
6 Eu 0.0000 0.5000 0.0000  4 Cu 3.13, 4 Pt 3.13
7 Eu 0.5000 0.0000 0.0000  4 Cu 3.13, 4 Pt 3.13
8 Eu 0.5000 0.5000 0.5000  4 Cu 3.13, 4 Pt 3.13
9 Cu 0.2500 0.2500 0.7500  4 Pr 3.13, 4 Eu 3.13
10 Cu 0.2500 0.7500 0.2500  4 Pr 3.13, 4 Eu 3.13
11 Cu 0.7500 0.2500 0.2500  4 Pr 3.13, 4 Eu 3.13
12 Cu 0.7500 0.7500 0.7500  4 Pr 3.13, 4 Eu 3.13
13 Pt 0.2500 0.2500 0.2500  4 Pr 3.13, 4 Eu 3.13
14 Pt 0.2500 0.7500 0.7500  4 Pr 3.13, 4 Eu 3.13
15 Pt 0.7500 0.2500 0.7500  4 Pr 3.13, 4 Eu 3.13
16 Pt 0.7500 0.7500 0.2500  4 Pr 3.13, 4 Eu 3.13

Results
SG: F-43m, No. 216
ΔE_f: -0.562 eV per atom


[3]
Here is Tm3Al3Zn8 after structural relaxation from Alexandria via LeMat-Bulk. Energies are from PBE.

Cell: 8.1036 8.1036 8.1036 Å, 149.70 108.48 79.61°
Closest atoms and distances in Å follow each position.
Element x y z (fractional)
1 Tm 0.0000 0.0000 0.0000  12 Zn 3.15-3.17, 4 Al 3.52
2 Tm 0.3021 0.3021 0.0000  10 Zn 3.02-3.30, 4 Al 3.13-3.25
3 Tm 0.6979 0.6979 0.0000  10 Zn 3.02-3.30, 4 Al 3.13-3.25
4 Al 0.2968 0.5000 0.7968  6 Zn 2.55-2.75
5 Al 0.5000 0.0000 0.5000  4 Zn 2.75, 4 Al 2.86
6 Al 0.7032 0.5000 0.2032  6 Zn 2.55-2.75
7 Zn 0.0302 0.6612 0.3690  4 Zn 2.48-2.62, 1 Al 2.55
8 Zn 0.1358 0.8595 0.2762  3 Zn 2.54-2.62, 3 Al 2.75
9 Zn 0.2921 0.6612 0.6310  4 Zn 2.48-2.62, 1 Al 2.55
10 Zn 0.4167 0.1405 0.2762  3 Zn 2.54-2.62, 3 Al 2.75
11 Zn 0.5833 0.8595 0.7238  3 Zn 2.54-2.62, 3 Al 2.75
12 Zn 0.7079 0.3388 0.3690  4 Zn 2.48-2.62, 1 Al 2.55
13 Zn 0.8642 0.1405 0.7238  3 Zn 2.54-2.62, 3 Al 2.75
14 Zn 0.9698 0.3388 0.6310  4 Zn 2.48-2.62, 1 Al 2.55

Results
SG: Immm, No. 71
ΔE_f: -0.355 eV per atom


[4]
Here is Ho2Pd2O7 after structural relaxation from Alexandria via LeMat-Bulk. Energies are from PBE.

Cell: 4.9616 5.4939 5.5621 Å, 107.11 99.57 94.82°
Closest atoms and distances in Å follow each position.
Element x y z (fractional)
1 Ho 0.1157 0.2865 0.2081  6 O 2.13-2.35
2 Ho 0.8843 0.7135 0.7919  6 O 2.13-2.35
3 Pd 0.4595 0.2349 0.7397  5 O 2.01-2.13
4 Pd 0.5405 0.7651 0.2603  5 O 2.01-2.13
5 O 0.2445 0.0192 0.8995  1 Pd 2.01, 2 Ho 2.13-2.22
6 O 0.2455 0.5121 0.9427  2 Pd 2.09-2.13, 1 Ho 2.32
7 O 0.2530 0.9788 0.4009  2 Pd 2.03
8 O 0.5000 0.5000 0.5000  2 Pd 2.26, 2 Ho 2.26
9 O 0.7470 0.0212 0.5991  2 Pd 2.03
10 O 0.7545 0.4879 0.0573  2 Pd 2.09-2.13, 1 Ho 2.32
11 O 0.7555 0.9808 0.1005  1 Pd 2.01, 2 Ho 2.13-2.22

Results
Energy relative to the elements, uncorrected: -1.538 eV/atom
SG: P-1, No. 2